Record 1
## SrDy4ErSe8 (GGA-PBE)

Data for a geometry-optimized SrDy4ErSe8 structure.

abc: 8.5086 8.5086 8.5086
angles: 60.11 60.11 60.11
With the nearest neighbours (Å) after each atom.
Fractional coordinates of all 14 atoms:
Sr  0.0000  0.0000  0.0000  4 Se 2.89
Dy  0.1192  0.6266  0.6266  6 Se 2.83-2.95
Dy  0.2495  0.2495  0.2495  4 Se 2.76-2.77
Dy  0.6266  0.1192  0.6266  6 Se 2.83-2.95
Dy  0.6266  0.6266  0.1192  6 Se 2.83-2.95
Er  0.6266  0.6266  0.6266  6 Se 2.81-2.93
Se  0.3821  0.3821  0.3821  4 Dy 2.76-2.95
Se  0.3838  0.3838  0.8511  3 Dy 2.77-2.95, 1 Er 2.93
Se  0.3838  0.8511  0.3838  3 Dy 2.77-2.95, 1 Er 2.93
Se  0.4159  0.8598  0.8598  1 Er 2.81, 2 Dy 2.84, 1 Sr 2.89
Se  0.8511  0.3838  0.3838  3 Dy 2.77-2.95, 1 Er 2.93
Se  0.8598  0.4159  0.8598  1 Er 2.81, 2 Dy 2.84, 1 Sr 2.89
Se  0.8598  0.8598  0.4159  1 Er 2.81, 2 Dy 2.84, 1 Sr 2.89
Se  0.8612  0.8612  0.8612  3 Dy 2.83, 1 Sr 2.89

Results
As for the space group: R3m, No. 160. As for the uncorrected formation energy: -1.79 eV per atom. For the total magnetization, the calculation gives 0.0 μB/f.u.



Record 2
## MnP2Se (GGA-PBE)

Data for a geometry-optimized MnP2Se structure.

abc: 3.7559 4.3832 4.1515
angles: 90.00 102.50 90.00
With the nearest neighbours (Å) after each atom.
Fractional coordinates of all 4 atoms:
Mn  0.0000  0.0000  0.0000  4 P 2.48, 2 Se 2.48
P  0.2037  0.5000  0.8272  2 P 2.31-2.37, 2 Mn 2.48
P  0.7963  0.5000  0.1728  2 P 2.31-2.37, 2 Mn 2.48
Se  0.5000  0.0000  0.5000  2 Mn 2.48

Results
As for the space group: P2/m, No. 10. As for the uncorrected formation energy: 0.07 eV per atom. For the total magnetization, the calculation gives 3.0 μB/f.u.



Record 3
## CeNdPbSe (GGA-PBE)

Data for a geometry-optimized CeNdPbSe structure.

abc: 4.4048 4.4361 6.2830
angles: 90.00 90.17 90.00
With the nearest neighbours (Å) after each atom.
Fractional coordinates of all 4 atoms:
Ce  0.0000  0.0000  0.0000  4 Se 3.13, 2 Pb 3.14
Nd  0.5000  0.5000  0.5000  4 Pb 3.13, 2 Se 3.14
Pb  0.0000  0.0000  0.5000  4 Nd 3.13, 2 Ce 3.14
Se  0.5000  0.5000  0.0000  4 Ce 3.13, 2 Nd 3.14

Results
As for the space group: P2/m, No. 10. As for the uncorrected formation energy: -1.12 eV per atom. For the total magnetization, the calculation gives 1.1 μB/f.u.



Record 4
## RbBa2Cu (GGA-PBE)

Data for a geometry-optimized RbBa2Cu structure.

abc: 13.0030 13.0030 13.0030
angles: 20.91 20.91 20.91
With the nearest neighbours (Å) after each atom.
Fractional coordinates of all 4 atoms:
Rb  0.0000  0.0000  0.0000  2 Ba 4.61, 6 Rb 4.72
Ba  0.1210  0.1210  0.1210  3 Cu 3.23
Ba  0.8790  0.8790  0.8790  3 Cu 3.23
Cu  0.5000  0.5000  0.5000  6 Ba 3.23

Results
As for the space group: R-3m, No. 166. The value obtained for the energy relative to the elements is 30 kJ/mol of formula units. The calculation puts the distance to the lowest polymorph of the same formula at 0.144 eV per formula unit. For the total magnetization, the calculation gives 0.0 μB/f.u.



Record 5
## Tm2Ga12Pt (GGA-PBE)

Data for a geometry-optimized Tm2Ga12Pt structure.

abc: 6.1114 6.1114 15.3241
angles: 90.00 90.00 90.00
With the nearest neighbours (Å) after each atom.
Fractional coordinates of all 30 atoms:
Tm  0.2500  0.7500  0.2410  14 Ga 3.14-3.48
Tm  0.2500  0.7500  0.7590  14 Ga 3.14-3.48
Tm  0.7500  0.2500  0.2410  14 Ga 3.14-3.48
Tm  0.7500  0.2500  0.7590  14 Ga 3.14-3.48
Ga  0.0002  0.9998  0.0920  2 Pt 2.58, 3 Ga 2.64-2.82
Ga  0.9998  0.0002  0.9080  2 Pt 2.58, 3 Ga 2.64-2.82
Ga  0.9998  0.4998  0.0920  2 Pt 2.58, 3 Ga 2.64-2.82
Ga  0.0002  0.5002  0.9080  2 Pt 2.58, 3 Ga 2.64-2.82
Ga  0.0862  0.5862  0.4311  4 Ga 2.58-2.83
Ga  0.0862  0.9138  0.5689  4 Ga 2.58-2.83
Ga  0.2500  0.2500  0.1912  5 Ga 2.42-2.64
Ga  0.2500  0.2500  0.3490  5 Ga 2.42-2.61
Ga  0.2500  0.2500  0.6510  5 Ga 2.42-2.61
Ga  0.2500  0.2500  0.8088  5 Ga 2.42-2.64
Ga  0.4138  0.5862  0.5689  4 Ga 2.58-2.83
Ga  0.4138  0.9138  0.4311  4 Ga 2.58-2.83
Ga  0.5002  0.0002  0.0920  2 Pt 2.58, 3 Ga 2.64-2.82
Ga  0.4998  0.9998  0.9080  2 Pt 2.58, 3 Ga 2.64-2.82
Ga  0.4998  0.5002  0.0920  2 Pt 2.58, 3 Ga 2.64-2.82
Ga  0.5002  0.4998  0.9080  2 Pt 2.58, 3 Ga 2.64-2.82
Ga  0.5862  0.0862  0.5689  4 Ga 2.58-2.83
Ga  0.5862  0.4138  0.4311  4 Ga 2.58-2.83
Ga  0.7500  0.7500  0.1912  5 Ga 2.42-2.64
Ga  0.7500  0.7500  0.3490  5 Ga 2.42-2.61
Ga  0.7500  0.7500  0.6510  5 Ga 2.42-2.61
Ga  0.7500  0.7500  0.8088  5 Ga 2.42-2.64
Ga  0.9138  0.0862  0.4311  4 Ga 2.58-2.83
Ga  0.9138  0.4138  0.5689  4 Ga 2.58-2.83
Pt  0.2500  0.7500  0.0000  8 Ga 2.58
Pt  0.7500  0.2500  0.0000  8 Ga 2.58

Results
As for the space group: P4/nbm, No. 125. The value obtained for the energy relative to the elements is -536 kJ/mol of formula units. For the total magnetization, the calculation gives 0.0 μB/f.u.



Record 6
## MnGe2Pt7 (GGA-PBE)

Data for a geometry-optimized MnGe2Pt7 structure.

abc: 10.6141 10.6141 10.6141
angles: 158.28 158.28 30.91
With the nearest neighbours (Å) after each atom.
Fractional coordinates of all 10 atoms:
Mn  0.0000  0.0000  0.0000  12 Pt 2.81-2.83
Ge  0.3275  0.3275  0.0000  8 Pt 2.54-2.55
Ge  0.6725  0.6725  0.0000  8 Pt 2.54-2.55
Pt  0.0962  0.5962  0.5000  2 Ge 2.54, 2 Mn 2.81, 6 Pt 2.81-2.83
Pt  0.2500  0.7500  0.5000  4 Ge 2.55, 4 Pt 2.83
Pt  0.4038  0.9038  0.5000  2 Ge 2.54, 2 Mn 2.81, 6 Pt 2.81-2.83
Pt  0.5000  0.5000  0.0000  8 Pt 2.81, 4 Mn 2.83
Pt  0.5962  0.0962  0.5000  2 Ge 2.54, 2 Mn 2.81, 6 Pt 2.81-2.83
Pt  0.7500  0.2500  0.5000  4 Ge 2.55, 4 Pt 2.83
Pt  0.9038  0.4038  0.5000  2 Ge 2.54, 2 Mn 2.81, 6 Pt 2.81-2.83

Results
As for the space group: I4/mmm, No. 139. The value obtained for the energy relative to the elements is -371 kJ/mol of formula units. For the total magnetization, the calculation gives 4.5 μB/f.u.



Record 7
## YTmAlIn (GGA-PBE)

Data for a geometry-optimized YTmAlIn structure.

abc: 5.1899 5.1899 5.1899
angles: 60.00 60.00 60.00
With the nearest neighbours (Å) after each atom.
Fractional coordinates of all 4 atoms:
Y  0.0000  0.0000  0.0000  4 In 3.18, 4 Al 3.18
Tm  0.5000  0.5000  0.5000  4 Al 3.18, 4 In 3.18
Al  0.7500  0.7500  0.7500  4 Tm 3.18, 4 Y 3.18
In  0.2500  0.2500  0.2500  4 Tm 3.18, 4 Y 3.18

Results
As for the space group: F-43m, No. 216. The value obtained for the energy relative to the elements is -159 kJ/mol of formula units. The calculation puts the distance to the lowest polymorph of the same formula at 0.052 eV per formula unit. For the total magnetization, the calculation gives 0.0 μB/f.u.



Record 8
## KLi4AlO4 (GGA-PBE)

Data for a geometry-optimized KLi4AlO4 structure.

abc: 5.5963 15.6415 11.1294
angles: 90.00 109.68 90.00
With the nearest neighbours (Å) after each atom.
Fractional coordinates of all 80 atoms:
K  0.0522  0.0735  0.1682  6 O 2.86-3.19, 4 Li 3.02-3.18
K  0.0522  0.4265  0.6682  6 O 2.86-3.19, 4 Li 3.02-3.18
K  0.4056  0.7039  0.2715  7 O 2.86-3.08, 2 Li 2.94-3.14
K  0.4056  0.7961  0.7715  7 O 2.86-3.08, 2 Li 2.94-3.14
K  0.5944  0.2039  0.2285  7 O 2.86-3.08, 2 Li 2.94-3.14
K  0.5944  0.2961  0.7285  7 O 2.86-3.08, 2 Li 2.94-3.14
K  0.9478  0.5735  0.3318  6 O 2.86-3.19, 4 Li 3.02-3.18
K  0.9478  0.9265  0.8318  6 O 2.86-3.19, 4 Li 3.02-3.18
Li  0.0604  0.5772  0.0431  4 O 1.87-2.09
Li  0.0604  0.9228  0.5431  4 O 1.87-2.09
Li  0.0872  0.6225  0.7690  4 O 1.93-2.03
Li  0.0872  0.8775  0.2690  4 O 1.93-2.03
Li  0.1075  0.7390  0.4763  3 O 1.96-2.03
Li  0.1075  0.7610  0.9763  3 O 1.96-2.03
Li  0.2144  0.1605  0.6279  3 O 1.87-1.94
Li  0.2144  0.3395  0.1279  3 O 1.87-1.94
Li  0.3112  0.5207  0.9232  4 O 1.92-2.07
Li  0.3112  0.9793  0.4232  4 O 1.92-2.07
Li  0.3300  0.6202  0.6266  4 O 1.96-2.12
Li  0.3300  0.8798  0.1267  4 O 1.96-2.12
Li  0.3567  0.0658  0.9773  3 O 1.91-2.00
Li  0.3567  0.4342  0.4773  3 O 1.91-2.00
Li  0.4700  0.1531  0.4919  3 O 1.91-2.05
Li  0.4700  0.3469  0.9919  3 O 1.91-2.05
Li  0.5300  0.6531  0.0081  3 O 1.91-2.05
Li  0.5300  0.8469  0.5081  3 O 1.91-2.05
Li  0.6433  0.5658  0.5227  3 O 1.91-2.00
Li  0.6433  0.9342  0.0227  3 O 1.91-2.00
Li  0.6700  0.1202  0.8734  4 O 1.96-2.12
Li  0.6700  0.3798  0.3734  4 O 1.96-2.12
Li  0.6888  0.0207  0.5768  4 O 1.92-2.07
Li  0.6888  0.4793  0.0768  4 O 1.92-2.07
Li  0.7856  0.6605  0.8721  3 O 1.87-1.94
Li  0.7856  0.8395  0.3721  3 O 1.87-1.94
Li  0.8925  0.2390  0.0237  3 O 1.96-2.03
Li  0.8925  0.2610  0.5237  3 O 1.96-2.03
Li  0.9128  0.1225  0.7310  4 O 1.93-2.03
Li  0.9128  0.3775  0.2310  4 O 1.93-2.03
Li  0.9396  0.0772  0.4569  4 O 1.87-2.09
Li  0.9396  0.4228  0.9569  4 O 1.87-2.09
Al  0.1892  0.2267  0.8818  4 O 1.78-1.80
Al  0.1892  0.2733  0.3818  4 O 1.78-1.80
Al  0.3846  0.0164  0.7036  4 O 1.75-1.80
Al  0.3846  0.4836  0.2036  4 O 1.75-1.80
Al  0.6154  0.5164  0.7964  4 O 1.75-1.80
Al  0.6154  0.9836  0.2964  4 O 1.75-1.80
Al  0.8108  0.7267  0.6182  4 O 1.78-1.80
Al  0.8108  0.7733  0.1182  4 O 1.78-1.80
O  0.0384  0.1351  0.9237  1 Al 1.80, 2 Li 1.96-2.00
O  0.0384  0.3649  0.4237  1 Al 1.80, 2 Li 1.96-2.00
O  0.0501  0.0363  0.6403  1 Al 1.79, 2 Li 1.92-1.99
O  0.0501  0.4637  0.1403  1 Al 1.79, 2 Li 1.92-1.99
O  0.0658  0.2367  0.7113  1 Al 1.79, 1 Li 1.87
O  0.0658  0.2633  0.2113  1 Al 1.79, 1 Li 1.87
O  0.0978  0.1819  0.4506  1 Al 1.78, 2 Li 1.87-1.89
O  0.0978  0.3181  0.9506  1 Al 1.78, 2 Li 1.87-1.89
O  0.4417  0.5635  0.1027  1 Al 1.78, 1 Li 1.91
O  0.4417  0.9365  0.6027  1 Al 1.78, 1 Li 1.91
O  0.4502  0.6091  0.8248  1 Al 1.80, 2 Li 1.93-1.94
O  0.4502  0.8909  0.3248  1 Al 1.80, 2 Li 1.93-1.94
O  0.4725  0.7162  0.5508  1 Al 1.79, 1 Li 1.96
O  0.4725  0.7838  0.0508  1 Al 1.79, 1 Li 1.96
O  0.4975  0.0022  0.1314  1 Al 1.75, 1 Li 1.91
O  0.4975  0.4978  0.6314  1 Al 1.75, 1 Li 1.91
O  0.5025  0.5022  0.3686  1 Al 1.75, 1 Li 1.91
O  0.5025  0.9978  0.8686  1 Al 1.75, 1 Li 1.91
O  0.5275  0.2162  0.9492  1 Al 1.79, 1 Li 1.96
O  0.5275  0.2838  0.4492  1 Al 1.79, 1 Li 1.96
O  0.5498  0.1091  0.6752  1 Al 1.80, 2 Li 1.93-1.94
O  0.5498  0.3909  0.1752  1 Al 1.80, 2 Li 1.93-1.94
O  0.5583  0.0635  0.3973  1 Al 1.78, 1 Li 1.91
O  0.5583  0.4365  0.8973  1 Al 1.78, 1 Li 1.91
O  0.9022  0.6819  0.0494  1 Al 1.78, 2 Li 1.87-1.89
O  0.9022  0.8181  0.5494  1 Al 1.78, 2 Li 1.87-1.89
O  0.9342  0.7367  0.7887  1 Al 1.79, 1 Li 1.87
O  0.9342  0.7633  0.2887  1 Al 1.79, 1 Li 1.87
O  0.9499  0.5363  0.8597  1 Al 1.79, 2 Li 1.92-1.99
O  0.9499  0.9637  0.3597  1 Al 1.79, 2 Li 1.92-1.99
O  0.9616  0.6351  0.5763  1 Al 1.80, 2 Li 1.96-2.00
O  0.9616  0.8649  0.0763  1 Al 1.80, 2 Li 1.96-2.00

Results
As for the space group: P2_1/c, No. 14. As for the uncorrected formation energy: -2.13 eV per atom. For the total magnetization, the calculation gives 0.0 μB/f.u.



Record 9
## MgZnCuRh (GGA-PBE)

Data for a geometry-optimized MgZnCuRh structure.

abc: 3.5822 3.9696 3.9996
angles: 90.00 90.00 90.00
With the nearest neighbours (Å) after each atom.
Fractional coordinates of all 4 atoms:
Mg  0.0000  0.0000  0.0000  4 Cu 2.67, 4 Rh 2.68, 4 Zn 2.82
Zn  0.0000  0.5000  0.5000  4 Rh 2.67, 4 Cu 2.68, 4 Mg 2.82
Cu  0.5000  0.5000  0.0000  4 Mg 2.67, 4 Zn 2.68, 4 Rh 2.82
Rh  0.5000  0.0000  0.5000  4 Zn 2.67, 4 Mg 2.68, 4 Cu 2.82

Results
As for the space group: Pmmm, No. 47. The value obtained for the energy relative to the elements is -133 kJ/mol of formula units. For the total magnetization, the calculation gives 0.0 μB/f.u.



Record 10
## NiP5 (GGA-PBE)

Data for a geometry-optimized NiP5 structure.

abc: 5.5128 5.5128 4.7545
angles: 90.00 90.00 144.52
With the nearest neighbours (Å) after each atom.
Fractional coordinates of all 6 atoms:
Ni  0.0000  0.0000  0.0000  6 P 2.32-2.38
P  0.0000  0.0000  0.5000  2 Ni 2.38, 4 P 2.47
P  0.3273  0.6727  0.5000  6 P 2.34-2.47
P  0.3478  0.6522  0.0000  2 Ni 2.32, 2 P 2.39
P  0.6522  0.3478  0.0000  2 Ni 2.32, 2 P 2.39
P  0.6727  0.3273  0.5000  6 P 2.34-2.47

Results
As for the space group: Cmmm, No. 65. The value obtained for the energy relative to the elements is 9 kJ/mol of formula units. The calculation puts the distance to the lowest polymorph of the same formula at 0.000 eV per formula unit. For the total magnetization, the calculation gives 0.0 μB/f.u.



Record 11
## BaTl2Re (GGA-PBE)

Data for a geometry-optimized BaTl2Re structure.

abc: 9.7974 9.7974 9.7974
angles: 145.48 145.48 49.62
With the nearest neighbours (Å) after each atom.
Fractional coordinates of all 8 atoms:
Ba  0.0000  0.0000  0.0000  4 Tl 3.66
Ba  0.7500  0.2500  0.5000  4 Tl 3.66
Tl  0.3084  0.6250  0.1834  2 Re 2.68
Tl  0.3750  0.5584  0.6834  2 Re 2.68
Tl  0.4416  0.1250  0.8166  2 Re 2.68
Tl  0.8750  0.6916  0.3166  2 Re 2.68
Re  0.2500  0.7500  0.5000  4 Tl 2.68
Re  0.5000  0.5000  0.0000  4 Tl 2.68

Results
As for the space group: I-42d, No. 122. The value obtained for the energy relative to the elements is 311 kJ/mol of formula units. The calculation puts the distance to the lowest polymorph of the same formula at 0.904 eV per formula unit. For the total magnetization, the calculation gives 1.0 μB/f.u.



Record 12
## ZrZnTe (GGA-PBE)

Data for a geometry-optimized ZrZnTe structure.

abc: 5.4672 5.4672 5.4672
angles: 141.28 141.28 55.92
With the nearest neighbours (Å) after each atom.
Fractional coordinates of all 3 atoms:
Zr  0.0000  0.0000  0.0000  4 Zn 2.96, 5 Te 3.03-3.21
Zn  0.6528  0.6528  0.0000  4 Zr 2.96, 5 Te 3.09-3.10
Te  0.3327  0.3327  0.0000  5 Zr 3.03-3.21, 5 Zn 3.09-3.10

Results
As for the space group: I4mm, No. 107. The calculation puts the distance to the lowest polymorph of the same formula at 0.180 eV per formula unit. As for the uncorrected formation energy: -0.38 eV per atom. For the total magnetization, the calculation gives 0.0 μB/f.u.



Calculated values (eV per cell) of final energy for the records, taken in order: -77.6; -23.2; -22.4; -8.6; -113.7; -64.5; -19.1; -429.2; -15.7; -32.7; -31.8; -14.1.